1.
# AcLa2TmTl2 (PBE, optimized geometry)
# - calculated formation energy (kJ/mol of atoms) = -26
# - electronic total energy (eV per atom) = -4.1307
# - total moment (μB per atom) = 0.305
# - ρ (g/cm³) = 8.709
data_AcLa2TmTl2
_chemical_formula_sum 'Ac2 La4 Tm2 Tl4'
_cell_length_a 4.929
_cell_length_b 8.625
_cell_length_c 9.711
_cell_angle_alpha 90.00
_cell_angle_beta 90.00
_cell_angle_gamma 90.00
_space_group_name_H-M_alt 'P 1'
_space_group_IT_number 1
loop_
_space_group_symop_operation_xyz
'x,y,z'
loop_
_atom_site_label
_atom_site_fract_x
_atom_site_fract_y
_atom_site_fract_z
La1 0.000 0.365 0.172
La2 0.000 0.865 0.828
La3 0.500 0.534 0.919
La4 0.500 0.034 0.081
Ac1 0.000 0.482 0.580
Ac2 0.000 0.982 0.420
Tl1 0.500 0.774 0.618
Tl2 0.000 0.742 0.136
Tl3 0.500 0.274 0.382
Tl4 0.000 0.242 0.864
Tm1 0.500 0.147 0.686
Tm2 0.500 0.647 0.314

---

2.
# ZrAlSi2 (PBE, optimized geometry)
# - uncorrected formation energy (eV/atom) = -0.24
# - electronic total energy (eV per atom) = -6.0288
# - total moment (μB per atom) = 0.000
# - ρ (g/cm³) = 4.303
data_ZrAlSi2
_chemical_formula_sum 'Zr1 Al1 Si2'
_cell_length_a 4.638
_cell_length_b 2.885
_cell_length_c 5.029
_cell_angle_alpha 89.99
_cell_angle_beta 90.00
_cell_angle_gamma 90.00
_space_group_name_H-M_alt 'P 1'
_space_group_IT_number 1
loop_
_space_group_symop_operation_xyz
'x,y,z'
loop_
_atom_site_label
_atom_site_fract_x
_atom_site_fract_y
_atom_site_fract_z
Al1 0.500 0.999 0.753
Si1 0.500 0.001 0.260
Si2 0.000 0.000 0.995
Zr1 0.000 0.500 0.492